Entry from Alexandria via LeMat-Bulk: an optimized crystal structure of Co3PbF8 (PBE+U).

Results
Total energy   -4.970 eV per atom

a b c (Å): 3.965 6.633 6.880
angles (deg): 92.26 106.74 90.00
Atoms (fractional coordinates):
F 0.446 0.993 0.891
Co 0.425 0.290 0.850
F 0.880 0.280 0.760
F 0.744 0.601 0.488
Co 0.715 0.296 0.431
F 0.252 0.239 0.503
Co 0.541 0.760 0.082
F 0.412 0.594 0.823
F 0.078 0.736 0.156
Pb 0.265 0.820 0.531
F 0.669 0.981 0.338
F 0.572 0.379 0.144